# 1
Li2La2Ti3O10 | GGA-PBEsol | optimized geometry

Structure (CIF):
```
data_Li2La2Ti3O10
_space_group_name_H-M_alt 'P 1'
_space_group_IT_number 1
_cell_length_a 3.838
_cell_length_b 3.838
_cell_length_c 13.385
_cell_angle_alpha 98.24
_cell_angle_beta 98.24
_cell_angle_gamma 90.00
loop_
_space_group_symop_operation_xyz
'x,y,z'
loop_
_atom_site_label
_atom_site_type_symbol
_atom_site_fract_x
_atom_site_fract_y
_atom_site_fract_z
O1 O 0.643 0.143 0.286
Ti1 Ti 0.158 0.158 0.317
O2 O 0.357 0.857 0.714
La1 La 0.419 0.419 0.838
Li1 Li 0.250 0.750 0.500
Ti2 Ti 0.000 0.000 0.000
O3 O 0.143 0.643 0.286
O4 O 0.857 0.357 0.714
O5 O 0.500 0.000 0.000
O6 O 0.226 0.226 0.452
Ti3 Ti 0.842 0.842 0.683
O7 O 0.927 0.927 0.853
O8 O 0.774 0.774 0.548
Li2 Li 0.750 0.250 0.500
O9 O 0.073 0.073 0.147
O10 O 0.000 0.500 0.000
La2 La 0.581 0.581 0.162
```

## Properties
Crystal system ... tetragonal
Space-group type ... I4/mmm
Formation energy without anion corrections ... -3.11 eV/atom


# 2
K4MgW3O12 | GGA-PBEsol | optimized geometry

Structure (CIF):
```
data_K4MgW3O12
_space_group_name_H-M_alt 'P 1'
_space_group_IT_number 1
_cell_length_a 7.807
_cell_length_b 9.924
_cell_length_c 9.893
_cell_angle_alpha 93.45
_cell_angle_beta 106.02
_cell_angle_gamma 105.77
loop_
_space_group_symop_operation_xyz
'x,y,z'
loop_
_atom_site_label
_atom_site_type_symbol
_atom_site_fract_x
_atom_site_fract_y
_atom_site_fract_z
W1 W 0.239 0.183 0.742
K1 K 0.255 0.472 0.529
O1 O 0.601 0.674 0.626
W2 W 0.882 0.360 0.190
O2 O 0.203 0.080 0.481
O3 O 0.613 0.145 0.498
O4 O 0.969 0.781 0.364
W3 W 0.118 0.640 0.810
K2 K 0.218 0.758 0.222
K3 K 0.782 0.242 0.778
O5 O 0.683 0.953 0.774
K4 K 0.745 0.528 0.471
Mg1 Mg 0.158 0.875 0.549
K5 K 0.362 0.436 0.117
O6 O 0.031 0.219 0.636
O7 O 0.707 0.447 0.141
O8 O 0.446 0.302 0.724
O9 O 0.797 0.920 0.519
O10 O 0.399 0.326 0.374
O11 O 0.760 0.783 0.080
O12 O 0.244 0.001 0.735
O13 O 0.111 0.694 0.637
W4 W 0.384 0.148 0.397
Mg2 Mg 0.842 0.125 0.451
W5 W 0.616 0.852 0.603
O14 O 0.756 0.999 0.265
W6 W 0.761 0.817 0.258
O15 O 0.387 0.855 0.502
O16 O 0.240 0.217 0.920
O17 O 0.293 0.553 0.859
K6 K 0.000 0.000 0.000
O18 O 0.554 0.698 0.276
K7 K 0.500 0.000 0.000
O19 O 0.889 0.306 0.363
O20 O 0.317 0.047 0.226
K8 K 0.638 0.564 0.883
O21 O 0.103 0.485 0.212
O22 O 0.897 0.515 0.788
O23 O 0.837 0.215 0.055
O24 O 0.163 0.785 0.945
```

## Properties
Crystal system ... triclinic
Space-group type ... P-1
Formation energy without anion corrections ... -2.23 eV/atom


# 3
In2SiPt | GGA-PBEsol | optimized geometry

Structure (CIF):
```
data_In2SiPt
_space_group_name_H-M_alt 'P 1'
_space_group_IT_number 1
_cell_length_a 3.119
_cell_length_b 3.119
_cell_length_c 8.048
_cell_angle_alpha 90.00
_cell_angle_beta 90.00
_cell_angle_gamma 90.00
loop_
_space_group_symop_operation_xyz
'x,y,z'
loop_
_atom_site_label
_atom_site_type_symbol
_atom_site_fract_x
_atom_site_fract_y
_atom_site_fract_z
Pt1 Pt 0.000 0.000 0.547
In1 In 0.000 0.000 0.968
Si1 Si 0.500 0.500 0.693
In2 In 0.500 0.500 0.292
```

## Properties
Crystal system ... tetragonal
Space-group type ... P4mm
Formation energy without anion corrections ... -0.17 eV/atom


# 4
Mg2HgSb2 | GGA-PBEsol | optimized geometry

Structure (CIF):
```
data_Mg2HgSb2
_space_group_name_H-M_alt 'P 1'
_space_group_IT_number 1
_cell_length_a 5.104
_cell_length_b 5.104
_cell_length_c 6.469
_cell_angle_alpha 113.23
_cell_angle_beta 113.23
_cell_angle_gamma 90.00
loop_
_space_group_symop_operation_xyz
'x,y,z'
loop_
_atom_site_label
_atom_site_type_symbol
_atom_site_fract_x
_atom_site_fract_y
_atom_site_fract_z
Hg1 Hg 0.000 0.000 0.000
Mg1 Mg 0.250 0.750 0.500
Mg2 Mg 0.750 0.250 0.500
Sb1 Sb 0.371 0.371 0.742
Sb2 Sb 0.629 0.629 0.258
```

## Properties
Crystal system ... tetragonal
Space-group type ... I4/mmm
Formation energy without anion corrections ... -0.17 eV/atom


# 5
RbLa2BSe | GGA-PBEsol | optimized geometry

Structure (CIF):
```
data_RbLa2BSe
_space_group_name_H-M_alt 'P 1'
_space_group_IT_number 1
_cell_length_a 5.413
_cell_length_b 5.560
_cell_length_c 5.560
_cell_angle_alpha 90.00
_cell_angle_beta 90.00
_cell_angle_gamma 90.00
loop_
_space_group_symop_operation_xyz
'x,y,z'
loop_
_atom_site_label
_atom_site_type_symbol
_atom_site_fract_x
_atom_site_fract_y
_atom_site_fract_z
Se1 Se 0.500 0.000 0.000
La1 La 0.000 0.000 0.500
La2 La 0.000 0.500 0.000
Rb1 Rb 0.000 0.000 0.000
B1 B 0.500 0.500 0.500
```

## Properties
Crystal system ... tetragonal
Space-group type ... P4/mmm
Formation energy without anion corrections ... 1.66 eV/atom


# 6
BeP2W | GGA-PBEsol | optimized geometry

Structure (CIF):
```
data_BeP2W
_space_group_name_H-M_alt 'P 1'
_space_group_IT_number 1
_cell_length_a 3.111
_cell_length_b 4.097
_cell_length_c 4.587
_cell_angle_alpha 116.53
_cell_angle_beta 109.82
_cell_angle_gamma 90.00
loop_
_space_group_symop_operation_xyz
'x,y,z'
loop_
_atom_site_label
_atom_site_type_symbol
_atom_site_fract_x
_atom_site_fract_y
_atom_site_fract_z
P1 P 0.735 0.235 0.470
W1 W 0.509 0.509 0.018
Be1 Be 0.278 0.778 0.556
P2 P 0.978 0.978 0.956
```

## Properties
Crystal system ... orthorhombic
Calculated formation energy ... 0.39 eV per formula unit
Space-group type ... Imm2


# 7
KAlTc2 | GGA-PBEsol | optimized geometry

Structure (CIF):
```
data_KAlTc2
_space_group_name_H-M_alt 'P 1'
_space_group_IT_number 1
_cell_length_a 2.606
_cell_length_b 5.178
_cell_length_c 5.979
_cell_angle_alpha 115.66
_cell_angle_beta 102.59
_cell_angle_gamma 90.00
loop_
_space_group_symop_operation_xyz
'x,y,z'
loop_
_atom_site_label
_atom_site_type_symbol
_atom_site_fract_x
_atom_site_fract_y
_atom_site_fract_z
Tc1 Tc 0.788 0.788 0.577
Al1 Al 0.500 0.000 0.000
K1 K 0.000 0.500 0.000
Tc2 Tc 0.212 0.212 0.423
```

## Properties
Crystal system ... orthorhombic
Calculated formation energy ... 3.49 eV per formula unit
Space-group type ... Immm


# 8
SrCuN | GGA-PBEsol | optimized geometry

Structure (CIF):
```
data_SrCuN
_space_group_name_H-M_alt 'P 1'
_space_group_IT_number 1
_cell_length_a 5.318
_cell_length_b 8.942
_cell_length_c 13.053
_cell_angle_alpha 90.00
_cell_angle_beta 90.00
_cell_angle_gamma 90.00
loop_
_space_group_symop_operation_xyz
'x,y,z'
loop_
_atom_site_label
_atom_site_type_symbol
_atom_site_fract_x
_atom_site_fract_y
_atom_site_fract_z
Sr1 Sr 0.984 0.661 0.587
Cu1 Cu 0.500 0.500 0.000
N1 N 0.740 0.587 0.081
N2 N 0.260 0.413 0.581
Sr2 Sr 0.484 0.839 0.087
N3 N 0.717 0.742 0.750
N4 N 0.783 0.242 0.750
Sr3 Sr 0.016 0.339 0.087
Cu2 Cu 0.487 0.822 0.844
Sr4 Sr 0.003 0.020 0.250
Sr5 Sr 0.984 0.661 0.913
Sr6 Sr 0.997 0.980 0.750
Cu3 Cu 0.500 0.500 0.500
Cu4 Cu 0.000 0.000 0.500
Sr7 Sr 0.503 0.480 0.750
Cu5 Cu 0.013 0.322 0.844
Sr8 Sr 0.016 0.339 0.413
Sr9 Sr 0.497 0.520 0.250
N5 N 0.740 0.587 0.419
Cu6 Cu 0.487 0.822 0.656
Cu7 Cu 0.000 0.000 0.000
N6 N 0.240 0.913 0.919
Cu8 Cu 0.513 0.178 0.344
N7 N 0.217 0.758 0.250
Sr10 Sr 0.516 0.161 0.913
Sr11 Sr 0.516 0.161 0.587
N8 N 0.283 0.258 0.250
Cu9 Cu 0.013 0.322 0.656
Cu10 Cu 0.513 0.178 0.156
N9 N 0.760 0.087 0.419
N10 N 0.240 0.913 0.581
Cu11 Cu 0.987 0.678 0.156
Sr12 Sr 0.484 0.839 0.413
N11 N 0.760 0.087 0.081
N12 N 0.260 0.413 0.919
Cu12 Cu 0.987 0.678 0.344
```

## Properties
Crystal system ... orthorhombic
Space-group type ... Pnma
Formation energy without anion corrections ... -0.52 eV/atom


# 9
CsTmMo2O8 | GGA-PBEsol | optimized geometry

Structure (CIF):
```
data_CsTmMo2O8
_space_group_name_H-M_alt 'P 1'
_space_group_IT_number 1
_cell_length_a 4.989
_cell_length_b 7.822
_cell_length_c 9.458
_cell_angle_alpha 90.00
_cell_angle_beta 90.00
_cell_angle_gamma 90.00
loop_
_space_group_symop_operation_xyz
'x,y,z'
loop_
_atom_site_label
_atom_site_type_symbol
_atom_site_fract_x
_atom_site_fract_y
_atom_site_fract_z
Mo1 Mo 0.523 0.500 0.809
O1 O 0.258 0.821 0.815
O2 O 0.248 0.000 0.061
O3 O 0.248 0.500 0.939
Mo2 Mo 0.477 0.500 0.191
O4 O 0.752 0.000 0.939
O5 O 0.258 0.179 0.815
Tm1 Tm 0.000 0.750 0.000
Mo3 Mo 0.477 0.000 0.809
O6 O 0.258 0.679 0.185
O7 O 0.386 0.500 0.642
Cs1 Cs 0.000 0.750 0.500
O8 O 0.742 0.679 0.815
Tm2 Tm 0.000 0.250 0.000
O9 O 0.614 0.000 0.642
O10 O 0.386 0.000 0.358
Cs2 Cs 0.000 0.250 0.500
Mo4 Mo 0.523 0.000 0.191
O11 O 0.614 0.500 0.358
O12 O 0.742 0.321 0.815
O13 O 0.742 0.821 0.185
O14 O 0.742 0.179 0.185
O15 O 0.752 0.500 0.061
O16 O 0.258 0.321 0.185
```

## Properties
Crystal system ... orthorhombic
Space-group type ... Pccm
Formation energy without anion corrections ... -2.48 eV/atom


# 10
ScMoAsSe2 | GGA-PBEsol | optimized geometry

Structure (CIF):
```
data_ScMoAsSe2
_space_group_name_H-M_alt 'P 1'
_space_group_IT_number 1
_cell_length_a 4.962
_cell_length_b 4.962
_cell_length_c 5.019
_cell_angle_alpha 90.00
_cell_angle_beta 90.00
_cell_angle_gamma 90.00
loop_
_space_group_symop_operation_xyz
'x,y,z'
loop_
_atom_site_label
_atom_site_type_symbol
_atom_site_fract_x
_atom_site_fract_y
_atom_site_fract_z
Mo1 Mo 0.500 0.500 0.500
Se1 Se 0.000 0.500 0.000
Se2 Se 0.500 0.000 0.000
Sc1 Sc 0.000 0.000 0.000
As1 As 0.000 0.000 0.500
```

## Properties
Crystal system ... tetragonal
Space-group type ... P4/mmm
Formation energy without anion corrections ... 0.54 eV/atom


| no. | raw total energy (Ha/atom) | V (Å³ per atom) |
| --- | --- | --- |
| 1 | -0.3135 | 11.36 |
| 2 | -0.2853 | 17.53 |
| 3 | -0.1777 | 19.58 |
| 4 | -0.1027 | 27.97 |
| 5 | -0.1051 | 33.47 |
| 6 | -0.2665 | 12.10 |
| 7 | -0.2230 | 17.64 |
| 8 | -0.1990 | 17.24 |
| 9 | -0.3096 | 15.38 |
| 10 | -0.2092 | 24.72 |